## P
{
  "formula": "SiHgRu2",
  "functional": "PBE",
  "state": "relaxed",
  "lattice_angstrom": [[-0.319, -4.144, -1.068], [2.673, -0.478, 1.057], [-0.671, -1.277, 5.155]],
  "species": ["Ru", "Ru", "Si", "Hg"],
  "frac_coords": [[0.500, 0.432, 0.260], [0.000, 0.036, 0.054], [0.000, 0.339, 0.445], [0.500, 0.693, 0.741]],
  "spacegroup": "Pm",
  "total_magnetization_mub_per_fu": 0.60
}

***

## Q
{
  "formula": "SiHgRu2",
  "functional": "PBE",
  "state": "relaxed",
  "lattice_angstrom": [[-0.131, -1.341, -3.776], [0.001, -3.574, -1.817], [-5.924, -0.922, -0.651]],
  "species": ["Ru", "Ru", "Hg", "Si"],
  "frac_coords": [[0.013, 0.013, 0.935], [0.487, 0.487, 0.565], [0.250, 0.250, 0.250], [0.750, 0.750, 0.750]],
  "spacegroup": "C2/m",
  "total_magnetization_mub_per_fu": 0.00
}

***

Q ends up most stable, edging out the next structure by 22.7 kJ/mol of atoms.

***

## P
{
  "formula": "Si2HgRu2",
  "functional": "PBE",
  "state": "relaxed",
  "lattice_angstrom": [[-0.386, 2.102, -6.831], [-0.110, -6.842, -2.099], [-2.906, -0.003, 0.163]],
  "species": ["Si", "Si", "Si", "Si", "Ru", "Ru", "Ru", "Ru", "Hg", "Hg"],
  "frac_coords": [[0.858, 0.358, 0.500], [0.358, 0.142, 0.500], [0.142, 0.642, 0.500], [0.642, 0.858, 0.500], [0.352, 0.852, 0.000], [0.648, 0.148, 0.000], [0.852, 0.648, 0.000], [0.148, 0.352, 0.000], [0.000, 0.000, 0.000], [0.500, 0.500, 0.000]],
  "spacegroup": "P4/mbm",
  "total_magnetization_mub_per_fu": 0.00
}

***

## Q
{
  "formula": "Si2HgRu2",
  "functional": "PBE",
  "state": "relaxed",
  "lattice_angstrom": [[-3.229, -1.459, -0.400], [1.097, -1.609, -2.987], [0.738, -6.430, 1.606]],
  "species": ["Ru", "Ru", "Si", "Si", "Hg"],
  "frac_coords": [[0.381, 0.381, 0.238], [0.619, 0.619, 0.762], [0.750, 0.250, 0.500], [0.250, 0.750, 0.500], [0.000, 0.000, 0.000]],
  "spacegroup": "I4/mmm",
  "total_magnetization_mub_per_fu": 0.00
}

***

Q ends up most stable, edging out the next structure by 3.1 kJ/mol of atoms.

***

## P
{
  "formula": "SiHgRu",
  "functional": "PBE",
  "state": "relaxed",
  "lattice_angstrom": [[4.181, 0.000, 0.000], [2.091, 3.621, 0.000], [2.091, 1.207, 3.414]],
  "species": ["Si", "Ru", "Hg"],
  "frac_coords": [[0.750, 0.750, 0.750], [0.500, 0.500, 0.500], [0.000, 0.000, 0.000]],
  "spacegroup": "F-43m",
  "total_magnetization_mub_per_fu": 0.00
}

***

## Q
{
  "formula": "SiHgRu",
  "functional": "PBE",
  "state": "relaxed",
  "lattice_angstrom": [[-1.851, -1.687, -1.691], [2.708, 0.807, -1.070], [2.613, -5.408, 2.536]],
  "species": ["Si", "Ru", "Hg"],
  "frac_coords": [[0.333, 0.667, 0.620], [0.667, 0.333, 0.374], [0.000, 0.000, 0.006]],
  "spacegroup": "P3m1",
  "total_magnetization_mub_per_fu": 0.00
}

***

## R
{
  "formula": "SiHgRu",
  "functional": "PBE",
  "state": "relaxed",
  "lattice_angstrom": [[5.552, 0.001, -0.016], [3.798, 4.050, 0.016], [-4.668, -2.042, 2.206]],
  "species": ["Ru", "Hg", "Si"],
  "frac_coords": [[0.298, 0.298, 0.000], [0.000, 0.000, 0.000], [0.702, 0.702, 0.000]],
  "spacegroup": "I4mm",
  "total_magnetization_mub_per_fu": 0.00
}

***

R ends up most stable, edging out the next structure by 14.1 kJ/mol of atoms.

***

## P
{
  "formula": "SiHgRu3",
  "functional": "PBE",
  "state": "relaxed",
  "lattice_angstrom": [[4.432, 0.000, 0.000], [0.000, 4.432, 0.000], [0.000, 0.000, 4.432]],
  "species": ["Ru", "Ru", "Ru", "Si", "Hg"],
  "frac_coords": [[0.000, 0.500, 0.000], [0.000, 0.000, 0.500], [0.500, 0.000, 0.000], [0.000, 0.000, 0.000], [0.500, 0.500, 0.500]],
  "spacegroup": "Pm-3m",
  "total_magnetization_mub_per_fu": 2.31
}

***

## Q
{
  "formula": "SiHgRu3",
  "functional": "PBE",
  "state": "relaxed",
  "lattice_angstrom": [[-4.632, -0.435, -1.724], [0.056, -4.844, 1.072], [-1.777, 0.981, 4.527]],
  "species": ["Si", "Hg", "Ru", "Ru", "Ru"],
  "frac_coords": [[0.500, 0.500, 0.500], [0.000, 0.000, 0.000], [0.000, 0.500, 0.000], [0.000, 0.000, 0.500], [0.500, 0.000, 0.000]],
  "spacegroup": "Pm-3m",
  "total_magnetization_mub_per_fu": 6.47
}

***

P ends up most stable, edging out the next structure by 176.9 kJ/mol of atoms.

***

## P
{
  "formula": "SiHg3Ru",
  "functional": "PBE",
  "state": "relaxed",
  "lattice_angstrom": [[-3.146, -3.295, -2.043], [-0.129, -2.541, 4.297], [-3.875, 2.760, 1.516]],
  "species": ["Hg", "Hg", "Hg", "Ru", "Si"],
  "frac_coords": [[0.000, 0.500, 0.000], [0.000, 0.000, 0.500], [0.500, 0.000, 0.000], [0.500, 0.500, 0.500], [0.000, 0.000, 0.000]],
  "spacegroup": "Pm-3m",
  "total_magnetization_mub_per_fu": 2.50
}

***

## Q
{
  "formula": "SiHg3Ru",
  "functional": "PBE",
  "state": "relaxed",
  "lattice_angstrom": [[-2.642, 0.660, 4.419], [2.494, -4.042, 2.095], [3.708, 3.189, 1.740]],
  "species": ["Hg", "Hg", "Hg", "Ru", "Si"],
  "frac_coords": [[0.000, 0.500, 0.000], [0.500, 0.000, 0.000], [0.000, 0.000, 0.500], [0.000, 0.000, 0.000], [0.500, 0.500, 0.500]],
  "spacegroup": "Pm-3m",
  "total_magnetization_mub_per_fu": 1.24
}

***

Q ends up most stable, edging out the next structure by 9.3 kJ/mol of atoms.

***

## P
{
  "formula": "Sm2HgRu",
  "functional": "PBE",
  "state": "relaxed",
  "lattice_angstrom": [[-1.230, 0.810, 3.821], [-2.626, -2.516, 1.882], [4.576, -4.631, 4.649]],
  "species": ["Hg", "Ru", "Sm", "Sm"],
  "frac_coords": [[0.501, 0.501, 0.496], [0.665, 0.665, 0.004], [0.065, 0.065, 0.804], [0.268, 0.268, 0.196]],
  "spacegroup": "R3m",
  "total_magnetization_mub_per_fu": 0.00
}

***

## Q
{
  "formula": "Sm2HgRu",
  "functional": "PBE",
  "state": "relaxed",
  "lattice_angstrom": [[5.131, 0.000, 0.000], [2.566, 4.444, 0.000], [2.566, 1.481, 4.190]],
  "species": ["Sm", "Sm", "Ru", "Hg"],
  "frac_coords": [[0.750, 0.750, 0.750], [0.250, 0.250, 0.250], [0.500, 0.500, 0.500], [0.000, 0.000, 0.000]],
  "spacegroup": "Fm-3m",
  "total_magnetization_mub_per_fu": 0.00
}

***

Q ends up most stable, edging out the next structure by 4.8 kJ/mol of atoms.

***

## P
{
  "formula": "Sm2HgRu",
  "functional": "PBE",
  "state": "relaxed",
  "lattice_angstrom": [[3.991, 0.000, 0.000], [1.995, 3.456, 0.000], [1.995, 1.152, 7.979]],
  "species": ["Sm", "Sm", "Hg", "Ru"],
  "frac_coords": [[0.267, 0.267, 0.198], [0.733, 0.733, 0.802], [0.500, 0.500, 0.500], [0.000, 0.000, 0.000]],
  "spacegroup": "R-3m",
  "total_magnetization_mub_per_fu": 0.00
}

***

## Q
{
  "formula": "Sm2HgRu",
  "functional": "PBE",
  "state": "relaxed",
  "lattice_angstrom": [[3.542, 0.000, 0.000], [0.000, 3.542, 0.000], [0.000, 0.000, 7.711]],
  "species": ["Sm", "Sm", "Hg", "Ru"],
  "frac_coords": [[0.000, 0.000, 0.780], [0.000, 0.000, 0.220], [0.500, 0.500, 0.500], [0.500, 0.500, 0.000]],
  "spacegroup": "P4/mmm",
  "total_magnetization_mub_per_fu": 0.00
}

***

Q ends up most stable, edging out the next structure by 14.1 kJ/mol of atoms.

***

## P
{
  "formula": "Sm6Hg3Ru",
  "functional": "PBE",
  "state": "relaxed",
  "lattice_angstrom": [[8.472, -0.150, -0.153], [-0.333, 8.467, -0.153], [-0.333, -0.341, 8.461]],
  "species": ["Sm", "Sm", "Sm", "Sm", "Sm", "Sm", "Sm", "Sm", "Sm", "Sm", "Sm", "Sm", "Ru", "Ru", "Hg", "Hg", "Hg", "Hg", "Hg", "Hg"],
  "frac_coords": [[0.578, 0.812, 0.462], [0.038, 0.688, 0.922], [0.688, 0.922, 0.038], [0.188, 0.538, 0.422], [0.462, 0.578, 0.812], [0.078, 0.962, 0.312], [0.962, 0.312, 0.078], [0.312, 0.078, 0.962], [0.538, 0.422, 0.188], [0.922, 0.038, 0.688], [0.422, 0.188, 0.538], [0.812, 0.462, 0.578], [0.500, 0.500, 0.500], [0.000, 0.000, 0.000], [0.149, 0.351, 0.750], [0.750, 0.149, 0.351], [0.250, 0.851, 0.649], [0.351, 0.750, 0.149], [0.649, 0.250, 0.851], [0.851, 0.649, 0.250]],
  "spacegroup": "R-3c",
  "total_magnetization_mub_per_fu": 0.00
}

***

## Q
{
  "formula": "Sm6Hg3Ru",
  "functional": "PBE",
  "state": "relaxed",
  "lattice_angstrom": [[-1.742, -4.927, -1.417], [5.113, 0.372, -7.582], [6.453, -4.673, 8.317]],
  "species": ["Sm", "Sm", "Sm", "Sm", "Sm", "Sm", "Sm", "Sm", "Sm", "Sm", "Sm", "Sm", "Ru", "Ru", "Hg", "Hg", "Hg", "Hg", "Hg", "Hg"],
  "frac_coords": [[0.750, 0.880, 0.849], [0.750, 0.149, 0.664], [0.750, 0.776, 0.497], [0.750, 0.320, 0.338], [0.250, 0.224, 0.503], [0.250, 0.120, 0.151], [0.750, 0.527, 0.911], [0.250, 0.851, 0.336], [0.250, 0.106, 0.850], [0.750, 0.894, 0.150], [0.250, 0.473, 0.089], [0.250, 0.680, 0.662], [0.250, 0.959, 0.594], [0.750, 0.041, 0.406], [0.250, 0.502, 0.369], [0.750, 0.587, 0.213], [0.750, 0.498, 0.631], [0.250, 0.776, 0.972], [0.250, 0.413, 0.787], [0.750, 0.224, 0.028]],
  "spacegroup": "P2_1/m",
  "total_magnetization_mub_per_fu": 0.00
}

***

Q ends up most stable, edging out the next structure by 6.1 kJ/mol of atoms.